<P>
Pm2NpPb: optimized geometry, GGA-PBE.

a = 7.8124 Å, b = 7.8124 Å, c = 7.8124 Å
α = 90.00°, β = 90.00°, γ = 90.00°
Closest atoms and distances in Å follow each position.
Space group Fm-3m (No. 225)
Asymmetric unit:
Pm (0.2500, 0.2500, 0.2500) (multiplicity 8)  4 Pb 3.38, 4 Np 3.38
Np (0.0000, 0.0000, 0.0000) (multiplicity 4)  8 Pm 3.38
Pb (0.0000, 0.0000, 0.5000) (multiplicity 4)  8 Pm 3.38

Summary:
For the density of states at the Fermi level, the calculation gives 4.74 states/eV/atom. The crystal system is cubic.


<Q>
Pm2NpPb: optimized geometry, GGA-PBE.

a = 3.4025 Å, b = 3.4025 Å, c = 36.8038 Å
α = 90.00°, β = 90.00°, γ = 120.00°
Closest atoms and distances in Å follow each position.
Space group R-3m (No. 166, hexagonal axes)
Asymmetric unit:
Pm (0.0000, 0.0000, 0.0904) (multiplicity 6)  1 Np 3.33, 6 Pm 3.40, 3 Pb 3.43
Np (0.0000, 0.0000, 0.0000) (multiplicity 3)  2 Pm 3.33, 6 Np 3.40
Pb (0.0000, 0.0000, 0.5000) (multiplicity 3)  6 Pb 3.40, 6 Pm 3.43

Summary:
For the density of states at the Fermi level, the calculation gives 2.59 states/eV/atom. The crystal system is trigonal.


Least stable structure: <Q>


<P>
NpPb2S4: optimized geometry, GGA-PBE.

a = 7.3360 Å, b = 12.7693 Å, c = 4.1035 Å
α = 90.00°, β = 90.00°, γ = 90.00°
Closest atoms and distances in Å follow each position.
Space group Pbam (No. 55)
Asymmetric unit:
Np (0.0000, 0.0000, 0.0000) (multiplicity 2)  6 S 2.68-2.72
Pb (0.1175, 0.3320, 0.5000) (multiplicity 4)  3 S 2.83-2.86
S (0.1213, 0.8017, 0.0000) (multiplicity 4)  1 Np 2.68, 2 Pb 2.83
S (0.2337, 0.0388, 0.5000) (multiplicity 4)  2 Np 2.72, 1 Pb 2.86

Summary:
For the density of states at the Fermi level, the calculation gives 0.96 states/eV/atom. The crystal system is orthorhombic.


<Q>
NpPb2S4: optimized geometry, GGA-PBE.

a = 3.8626 Å, b = 14.2104 Å, c = 13.3447 Å
α = 90.00°, β = 90.00°, γ = 90.00°
Closest atoms and distances in Å follow each position.
Space group Cmcm (No. 63)
Asymmetric unit:
Np (0.0000, 0.1191, 0.2500) (multiplicity 4)  6 S 2.68-2.79
Pb (0.0000, 0.3708, 0.0681) (multiplicity 8)  6 S 2.82-3.14
S (0.0000, 0.0000, 0.0000) (multiplicity 4)  4 Pb 2.82
S (0.0000, 0.2931, 0.6317) (multiplicity 8)  2 Np 2.79, 1 Pb 2.89
S (0.0000, 0.4879, 0.2500) (multiplicity 4)  2 Np 2.68, 2 Pb 2.94

Summary:
For the density of states at the Fermi level, the calculation gives 1.25 states/eV/atom. The crystal system is orthorhombic.


Least stable structure: <Q>


<P>
Np2SbPb: optimized geometry, GGA-PBE.

a = 4.1032 Å, b = 4.1032 Å, c = 25.1314 Å
α = 90.00°, β = 90.00°, γ = 120.00°
Closest atoms and distances in Å follow each position.
Space group R-3m (No. 166, hexagonal axes)
Asymmetric unit:
Np (0.0000, 0.0000, 0.2450) (multiplicity 6)  3 Sb 3.08, 3 Pb 3.25
Sb (0.0000, 0.0000, 0.5000) (multiplicity 3)  6 Np 3.08
Pb (0.0000, 0.0000, 0.0000) (multiplicity 3)  6 Np 3.25

Summary:
For the density of states at the Fermi level, the calculation gives 3.47 states/eV/atom. The crystal system is trigonal.


<Q>
Np2SbPb: optimized geometry, GGA-PBE.

a = 4.8618 Å, b = 4.8618 Å, c = 4.4758 Å
α = 90.00°, β = 90.00°, γ = 90.00°
Closest atoms and distances in Å follow each position.
Space group P4/mmm (No. 123)
Asymmetric unit:
Np (0.0000, 0.5000, 0.0000) (multiplicity 2)  4 Pb 3.30, 4 Sb 3.30, 4 Np 3.44
Sb (0.0000, 0.0000, 0.5000) (multiplicity 1)  8 Np 3.30, 4 Pb 3.44
Pb (0.5000, 0.5000, 0.5000) (multiplicity 1)  8 Np 3.30, 4 Sb 3.44

Summary:
For the density of states at the Fermi level, the calculation gives 3.34 states/eV/atom. The crystal system is tetragonal.


<R>
Np2SbPb: optimized geometry, GGA-PBE.

a = 3.4617 Å, b = 3.4617 Å, c = 8.8522 Å
α = 90.00°, β = 90.00°, γ = 90.00°
Closest atoms and distances in Å follow each position.
Space group P4/mmm (No. 123)
Asymmetric unit:
Np (0.0000, 0.0000, 0.2347) (multiplicity 2)  4 Sb 3.21, 4 Pb 3.39, 4 Np 3.46
Sb (0.5000, 0.5000, 0.0000) (multiplicity 1)  8 Np 3.21, 4 Sb 3.46
Pb (0.5000, 0.5000, 0.5000) (multiplicity 1)  8 Np 3.39, 4 Pb 3.46

Summary:
For the density of states at the Fermi level, the calculation gives 3.44 states/eV/atom. The crystal system is tetragonal.


Least stable structure: <P>


<P>
NpSb2Pb: optimized geometry, GGA-PBE.

a = 4.9859 Å, b = 4.9859 Å, c = 4.3491 Å
α = 90.00°, β = 90.00°, γ = 90.00°
Closest atoms and distances in Å follow each position.
Space group P4/mmm (No. 123)
Asymmetric unit:
Np (0.0000, 0.0000, 0.0000) (multiplicity 1)  8 Sb 3.31, 4 Pb 3.53
Sb (0.0000, 0.5000, 0.5000) (multiplicity 2)  4 Pb 3.31, 4 Np 3.31, 4 Sb 3.53
Pb (0.5000, 0.5000, 0.0000) (multiplicity 1)  8 Sb 3.31, 4 Np 3.53

Summary:
For the density of states at the Fermi level, the calculation gives 2.97 states/eV/atom. The crystal system is tetragonal.


<Q>
NpSb2Pb: optimized geometry, GGA-PBE.

a = 4.3335 Å, b = 4.3335 Å, c = 23.7552 Å
α = 90.00°, β = 90.00°, γ = 120.00°
Closest atoms and distances in Å follow each position.
Space group R3m (No. 160, hexagonal axes)
Asymmetric unit:
Np (0.0000, 0.0000, 0.0000) (multiplicity 3)  6 Sb 3.12
Sb (0.0000, 0.0000, 0.5882) (multiplicity 3)  3 Np 3.12, 3 Pb 3.22
Sb (0.0000, 0.0000, 0.7455) (multiplicity 3)  3 Np 3.12, 3 Pb 3.30
Pb (0.0000, 0.0000, 0.1692) (multiplicity 3)  6 Sb 3.22-3.30

Summary:
For the density of states at the Fermi level, the calculation gives 2.58 states/eV/atom. The crystal system is trigonal.


Least stable structure: <Q>


<P>
NpSb2Pb: optimized geometry, GGA-PBE.

a = 4.1018 Å, b = 4.1018 Å, c = 6.5710 Å
α = 90.00°, β = 90.00°, γ = 90.00°
Closest atoms and distances in Å follow each position.
Space group P4/mmm (No. 123)
Asymmetric unit:
Np (0.0000, 0.0000, 0.0000) (multiplicity 1)  8 Sb 3.28, 2 Pb 3.29
Sb (0.5000, 0.5000, 0.2319) (multiplicity 2)  1 Sb 3.05, 4 Np 3.28, 4 Pb 3.39
Pb (0.0000, 0.0000, 0.5000) (multiplicity 1)  2 Np 3.29, 8 Sb 3.39

Summary:
For the density of states at the Fermi level, the calculation gives 2.11 states/eV/atom. The crystal system is tetragonal.


<Q>
NpSb2Pb: optimized geometry, GGA-PBE.

a = 4.4572 Å, b = 4.4572 Å, c = 22.5800 Å
α = 90.00°, β = 90.00°, γ = 120.00°
Closest atoms and distances in Å follow each position.
Space group R-3m (No. 166, hexagonal axes)
Asymmetric unit:
Np (0.0000, 0.0000, 0.0000) (multiplicity 3)  6 Sb 3.09
Sb (0.0000, 0.0000, 0.2574) (multiplicity 6)  3 Np 3.09, 3 Pb 3.29
Pb (0.0000, 0.0000, 0.5000) (multiplicity 3)  6 Sb 3.29

Summary:
For the density of states at the Fermi level, the calculation gives 2.46 states/eV/atom. The crystal system is trigonal.


Least stable structure: <Q>